1.
TlCoIr2 after structural relaxation. Source: Alexandria via LeMat-Bulk, functional PBEsol.

Computed properties:
Total magnetization = 2.5 μB per cell
ρ = 17761 kg/m3
Energy relative to the elements = 631 meV/atom
SG = F-43m (216)

abc: 4.4080 4.4080 4.4080
angles: 60.00 60.00 60.00
Fractional coordinates of all 4 atoms:
Tl 0.0000 0.0000 0.0000
Co 0.7500 0.7500 0.7500
Ir 0.2500 0.2500 0.2500
Ir 0.5000 0.5000 0.5000

---

2.
TlCo2Ir after structural relaxation. Source: Alexandria via LeMat-Bulk, functional PBEsol.

Computed properties:
Total magnetization = 2.2 μB per cell
ρ = 15404 kg/m3
Energy relative to the elements = 398 meV/atom
SG = P4/mmm (123)

abc: 2.7883 2.7883 7.1334
angles: 90.00 90.00 90.00
Fractional coordinates of all 4 atoms:
Tl 0.0000 0.0000 0.0000
Co 0.5000 0.5000 0.2759
Co 0.5000 0.5000 0.7241
Ir 0.0000 0.0000 0.5000

---

3.
TlCoIr2 after structural relaxation. Source: Alexandria via LeMat-Bulk, functional PBEsol.

Computed properties:
Total magnetization = 1.8 μB per cell
ρ = 17695 kg/m3
Energy relative to the elements = 533 meV/atom
SG = P2/m (10)

abc: 2.7926 4.5516 4.7836
angles: 90.00 91.28 90.00
Fractional coordinates of all 4 atoms:
Tl 0.0000 0.0000 0.0000
Co 0.5000 0.0000 0.5000
Ir 0.2662 0.5000 0.7289
Ir 0.7338 0.5000 0.2711

---

4.
TlCo2Ir after structural relaxation. Source: Alexandria via LeMat-Bulk, functional PBEsol.

Computed properties:
Total magnetization = 3.0 μB per cell
ρ = 14711 kg/m3
Energy relative to the elements = 476 meV/atom
SG = C2/m (12)

abc: 4.5021 4.5021 4.8785
angles: 100.52 100.52 36.76
Fractional coordinates of all 4 atoms:
Tl 0.0000 0.0000 0.0000
Co 0.2404 0.2404 0.6973
Co 0.7596 0.7596 0.3027
Ir 0.5000 0.5000 0.5000

---

5.
Tm2CoIr after structural relaxation. Source: Alexandria via LeMat-Bulk, functional PBEsol.

Computed properties:
Total magnetization = 0.4 μB per cell
ρ = 13721 kg/m3
Energy relative to the elements = -584 meV/atom
SG = Fm-3m (225)

abc: 4.6541 4.6541 4.6541
angles: 60.00 60.00 60.00
Fractional coordinates of all 4 atoms:
Tm 0.2500 0.2500 0.2500
Tm 0.7500 0.7500 0.7500
Co 0.0000 0.0000 0.0000
Ir 0.5000 0.5000 0.5000

---

6.
CoIrW2 after structural relaxation. Source: Alexandria via LeMat-Bulk, functional PBEsol.

Computed properties:
Total magnetization = 0.0 μB per cell
ρ = 18619 kg/m3
Energy relative to the elements = -133 meV/atom
SG = I4/mmm (139)

abc: 4.6710 4.6710 4.6710
angles: 131.99 131.99 70.25
Fractional coordinates of all 4 atoms:
Co 0.0000 0.0000 0.0000
Ir 0.5000 0.5000 0.0000
W 0.2500 0.7500 0.5000
W 0.7500 0.2500 0.5000

---

7.
Co2IrW after structural relaxation. Source: Alexandria via LeMat-Bulk, functional PBEsol.

Computed properties:
Total magnetization = 0.5 μB per cell
ρ = 16622 kg/m3
Energy relative to the elements = -156 meV/atom
SG = P4/mmm (123)

abc: 3.6966 3.6966 3.6107
angles: 90.00 90.00 90.00
Fractional coordinates of all 4 atoms:
Co 0.0000 0.5000 0.0000
Co 0.5000 0.0000 0.0000
Ir 0.0000 0.0000 0.5000
W 0.5000 0.5000 0.5000

---

8.
Co2IrW after structural relaxation. Source: Alexandria via LeMat-Bulk, functional PBEsol.

Computed properties:
Total magnetization = 1.0 μB per cell
ρ = 16522 kg/m3
Energy relative to the elements = -5 meV/atom
SG = Cmmm (65)

abc: 4.4367 4.4367 2.6502
angles: 90.00 90.00 107.91
Fractional coordinates of all 4 atoms:
Co 0.0000 0.5000 0.0000
Co 0.5000 0.0000 0.0000
Ir 0.0000 0.0000 0.5000
W 0.5000 0.5000 0.5000

---

9.
Co2IrW after structural relaxation. Source: Alexandria via LeMat-Bulk, functional PBEsol.

Computed properties:
Total magnetization = 1.1 μB per cell
ρ = 16549 kg/m3
Energy relative to the elements = -100 meV/atom
SG = I4/mmm (139)

abc: 4.4640 4.4640 4.4640
angles: 131.00 131.00 71.81
Fractional coordinates of all 4 atoms:
Co 0.2500 0.7500 0.5000
Co 0.7500 0.2500 0.5000
Ir 0.0000 0.0000 0.0000
W 0.5000 0.5000 0.0000

---

10.
CoIrW2 after structural relaxation. Source: Alexandria via LeMat-Bulk, functional PBEsol.

Computed properties:
Total magnetization = 0.5 μB per cell
ρ = 18320 kg/m3
Energy relative to the elements = 111 meV/atom
SG = R-3m (166)

abc: 8.8792 8.8792 8.8792
angles: 17.64 17.64 17.64
Fractional coordinates of all 4 atoms:
Co 0.0000 0.0000 0.0000
Ir 0.5000 0.5000 0.5000
W 0.2533 0.2533 0.2533
W 0.7467 0.7467 0.7467

---

11.
CoIrW2 after structural relaxation. Source: Alexandria via LeMat-Bulk, functional PBEsol.

Computed properties:
Total magnetization = 0.0 μB per cell
ρ = 18556 kg/m3
Energy relative to the elements = -115 meV/atom
SG = Pmmm (47)

abc: 2.7120 3.7991 5.3749
angles: 90.00 90.00 90.00
Fractional coordinates of all 4 atoms:
Co 0.0000 0.0000 0.0000
Ir 0.0000 0.0000 0.5000
W 0.5000 0.5000 0.2419
W 0.5000 0.5000 0.7581

---

12.
CoIrW2 after structural relaxation. Source: Alexandria via LeMat-Bulk, functional PBEsol.

Computed properties:
Total magnetization = 0.0 μB per cell
ρ = 18513 kg/m3
Energy relative to the elements = -109 meV/atom
SG = Pmm2 (25)

abc: 2.7142 4.3414 4.7106
angles: 90.00 90.00 90.00
Fractional coordinates of all 4 atoms:
Co 0.0000 0.0000 0.0000
Ir 0.0000 0.5000 0.6515
W 0.5000 0.0000 0.4881
W 0.5000 0.5000 0.1369